i:
Compound: Ca2Ag7
Source: Alexandria
Functional: PBE
Structure: relaxed

**SG**: R-3m
**Fermi-level density of states**: 0.516 states/eV/atom

a = 5.6702 Å, b = 5.6702 Å, c = 14.4587 Å
α = 78.69°, β = 78.69°, γ = 60.00°
Fractional positions:
Ag 0.5000 0.5000 0.5000
Ag 0.0000 0.5000 0.0000
Ag 0.6131 0.1086 0.6653
Ag 0.7224 0.7224 0.8328
Ag 0.3890 0.3890 0.8330
Ag 0.5000 0.5000 0.0000
Ag 0.3869 0.3869 0.3347
Ag 0.5000 0.0000 0.0000
Ag 0.6110 0.6110 0.1670
Ag 0.1086 0.6131 0.6653
Ag 0.6131 0.6131 0.6653
Ag 0.3869 0.8914 0.3347
Ag 0.2776 0.2776 0.1672
Ag 0.8914 0.3869 0.3347
Ca 0.9489 0.9489 0.1534
Ca 0.8513 0.8513 0.4462
Ca 0.0511 0.0511 0.8466
Ca 0.1487 0.1487 0.5538

ii:
Compound: Ca2Ag7
Source: Alexandria
Functional: PBE
Structure: relaxed

**SG**: Cmcm
**Fermi-level density of states**: 0.352 states/eV/atom

a = 5.5182 Å, b = 5.5182 Å, c = 14.3023 Å
α = 90.00°, β = 90.00°, γ = 119.26°
Fractional positions:
Ca 0.6782 0.6782 0.8859
Ca 0.3218 0.3218 0.3859
Ca 0.6782 0.6782 0.6141
Ca 0.3218 0.3218 0.1141
Ag 0.6649 0.9917 0.4242
Ag 0.9917 0.6649 0.0758
Ag 0.1740 0.1740 0.7500
Ag 0.1740 0.6726 0.7500
Ag 0.3351 0.0083 0.9242
Ag 0.8260 0.3274 0.2500
Ag 0.0083 0.3351 0.9242
Ag 0.6726 0.1740 0.7500
Ag 0.0083 0.3351 0.5758
Ag 0.3274 0.8260 0.2500
Ag 0.6649 0.9917 0.0758
Ag 0.9917 0.6649 0.4242
Ag 0.8260 0.8260 0.2500
Ag 0.3351 0.0083 0.5758

It comes down to ii, which is 28 meV/atom more stable than the next structure.

i:
Compound: Ca4Ag
Source: Alexandria
Functional: PBE
Structure: relaxed

**SG**: Im-3m
**Fermi-level density of states**: 1.224 states/eV/atom

a = 6.2865 Å, b = 6.2865 Å, c = 6.2865 Å
α = 109.47°, β = 109.47°, γ = 109.47°
Fractional positions:
Ca 0.5000 0.0000 0.0000
Ca 0.0000 0.0000 0.5000
Ca 0.5000 0.5000 0.5000
Ca 0.0000 0.5000 0.0000
Ag 0.0000 0.0000 0.0000

ii:
Compound: Ca4Ag
Source: Alexandria
Functional: PBE
Structure: relaxed

**SG**: P-1
**Fermi-level density of states**: 1.028 states/eV/atom

a = 6.4441 Å, b = 7.4030 Å, c = 9.1549 Å
α = 114.16°, β = 112.16°, γ = 89.77°
Fractional positions:
Ag 0.2517 0.0000 0.9999
Ag 0.7483 0.0000 0.0001
Ca 0.3183 0.9778 0.6523
Ca 0.8199 0.6730 0.6537
Ca 0.4167 0.5916 0.8404
Ca 0.6817 0.0222 0.3477
Ca 0.9154 0.2471 0.8417
Ca 0.1801 0.3270 0.3463
Ca 0.0846 0.7529 0.1583
Ca 0.5833 0.4084 0.1596

iii:
Compound: Ca4Ag
Source: Alexandria
Functional: PBE
Structure: relaxed

**SG**: Fdd2
**Fermi-level density of states**: 0.953 states/eV/atom

a = 7.8773 Å, b = 7.8773 Å, c = 7.9300 Å
α = 104.87°, β = 104.87°, γ = 118.91°
Fractional positions:
Ca 0.1879 0.9467 0.1578
Ca 0.6328 0.4737 0.7614
Ca 0.2800 0.5389 0.3422
Ca 0.7889 0.0300 0.8422
Ca 0.1214 0.4623 0.7386
Ca 0.7123 0.8714 0.2386
Ca 0.1967 0.9379 0.6578
Ca 0.7237 0.3828 0.2614
Ag 0.3302 0.3302 0.0000
Ag 0.5802 0.0802 0.5000

iv:
Compound: Ca4Ag
Source: Alexandria
Functional: PBE
Structure: relaxed

**SG**: Pm-3m
**Fermi-level density of states**: 0.777 states/eV/atom

a = 5.8440 Å, b = 5.8440 Å, c = 5.8440 Å
α = 90.00°, β = 90.00°, γ = 90.00°
Fractional positions:
Ca 0.5000 0.5000 0.0000
Ca 0.5000 0.0000 0.5000
Ca 0.0000 0.0000 0.0000
Ca 0.0000 0.5000 0.5000
Ag 0.5000 0.5000 0.5000

It comes down to ii, which is 9 meV/atom more stable than the next structure.

i:
Compound: Ca3Ag2
Source: Alexandria
Functional: PBE
Structure: relaxed

**SG**: R-3c
**Fermi-level density of states**: 0.565 states/eV/atom

a = 7.3275 Å, b = 7.3275 Å, c = 8.0989 Å
α = 63.10°, β = 63.10°, γ = 60.00°
Fractional positions:
Ca 0.6268 0.8732 0.2500
Ca 0.1268 0.7500 0.7500
Ca 0.7500 0.3732 0.7500
Ca 0.3732 0.1268 0.7500
Ca 0.2500 0.6268 0.2500
Ca 0.8732 0.2500 0.2500
Ag 0.1819 0.1819 0.4543
Ag 0.8181 0.8181 0.5457
Ag 0.6819 0.6819 0.9543
Ag 0.3181 0.3181 0.0457

ii:
Compound: Ca3Ag2
Source: Alexandria
Functional: PBE
Structure: relaxed

**SG**: Immm
**Fermi-level density of states**: 0.685 states/eV/atom

a = 4.6125 Å, b = 6.2277 Å, c = 6.2277 Å
α = 67.07°, β = 68.26°, γ = 68.26°
Fractional positions:
Ca 0.8005 0.6995 0.6995
Ca 0.1995 0.3005 0.3005
Ca 0.0000 0.0000 0.0000
Ag 0.5000 0.7049 0.2951
Ag 0.5000 0.2951 0.7049

iii:
Compound: Ca3Ag2
Source: Alexandria
Functional: PBE
Structure: relaxed

**SG**: P-3m1
**Fermi-level density of states**: 0.941 states/eV/atom

a = 5.2396 Å, b = 5.2396 Å, c = 6.3802 Å
α = 90.00°, β = 90.00°, γ = 120.00°
Fractional positions:
Ca 0.6667 0.3333 0.6631
Ca 0.0000 0.0000 0.0000
Ca 0.3333 0.6667 0.3369
Ag 0.3333 0.6667 0.8408
Ag 0.6667 0.3333 0.1592

iv:
Compound: Ca3Ag2
Source: Alexandria
Functional: PBE
Structure: relaxed

**SG**: P4/mbm
**Fermi-level density of states**: 0.744 states/eV/atom

a = 4.3444 Å, b = 8.1836 Å, c = 8.1836 Å
α = 90.00°, β = 90.00°, γ = 90.00°
Fractional positions:
Ag 0.0000 0.1277 0.3723
Ag 0.0000 0.3723 0.8723
Ag 0.0000 0.6277 0.1277
Ag 0.0000 0.8723 0.6277
Ca 0.5000 0.6644 0.8356
Ca 0.0000 0.0000 0.0000
Ca 0.5000 0.1644 0.6644
Ca 0.5000 0.3356 0.1644
Ca 0.5000 0.8356 0.3356
Ca 0.0000 0.5000 0.5000

It comes down to iv, which is 44 meV/atom more stable than the next structure.

i:
Compound: Ca2Cd2Ag
Source: Alexandria
Functional: PBE
Structure: relaxed

**SG**: I4/mmm
**Fermi-level density of states**: 0.772 states/eV/atom

a = 6.0810 Å, b = 6.0810 Å, c = 5.9321 Å
α = 59.17°, β = 59.17°, γ = 90.00°
Fractional positions:
Ca 0.2500 0.7500 0.5000
Ca 0.7500 0.2500 0.5000
Cd 0.3368 0.3368 0.3264
Cd 0.6632 0.6632 0.6736
Ag 0.0000 0.0000 0.0000

ii:
Compound: Ca2Cd2Ag
Source: Alexandria
Functional: PBE
Structure: relaxed

**SG**: P4/mbm
**Fermi-level density of states**: 0.387 states/eV/atom

a = 8.3120 Å, b = 8.3120 Å, c = 4.3028 Å
α = 90.00°, β = 90.00°, γ = 90.00°
Fractional positions:
Ca 0.8360 0.6640 0.0000
Ca 0.3360 0.8360 0.0000
Ca 0.6640 0.1640 0.0000
Ca 0.1640 0.3360 0.0000
Cd 0.3661 0.1339 0.5000
Cd 0.1339 0.6339 0.5000
Cd 0.6339 0.8661 0.5000
Cd 0.8661 0.3661 0.5000
Ag 0.0000 0.0000 0.0000
Ag 0.5000 0.5000 0.0000

iii:
Compound: Ca2Cd2Ag
Source: Alexandria
Functional: PBE
Structure: relaxed

**SG**: I4/mmm
**Fermi-level density of states**: 0.543 states/eV/atom

a = 9.4411 Å, b = 9.4411 Å, c = 9.4411 Å
α = 155.38°, β = 155.38°, γ = 35.09°
Fractional positions:
Ca 0.4036 0.4036 0.0000
Ca 0.5964 0.5964 0.0000
Ag 0.0000 0.0000 0.0000
Cd 0.7500 0.2500 0.5000
Cd 0.2500 0.7500 0.5000

It comes down to iii, which is 69 meV/atom more stable than the next structure.

i:
Compound: Ca2Cd2Ag
Source: Alexandria
Functional: PBE
Structure: relaxed

**SG**: Amm2
**Fermi-level density of states**: 0.623 states/eV/atom

a = 3.7184 Å, b = 4.7305 Å, c = 7.9231 Å
α = 107.37°, β = 90.00°, γ = 90.00°
Fractional positions:
Ca 0.0000 0.9302 0.8603
Ca 0.0000 0.6865 0.3729
Cd 0.5000 0.3068 0.6136
Cd 0.5000 0.5054 0.0109
Ag 0.5000 0.1132 0.2264

ii:
Compound: Ca2Cd2Ag
Source: Alexandria
Functional: PBE
Structure: relaxed

**SG**: P4/mbm
**Fermi-level density of states**: 0.723 states/eV/atom

a = 7.6928 Å, b = 7.6928 Å, c = 4.6447 Å
α = 90.00°, β = 90.00°, γ = 90.00°
Fractional positions:
Ag 0.5000 0.5000 0.0000
Ag 0.0000 0.0000 0.0000
Cd 0.3664 0.8664 0.0000
Cd 0.8664 0.6336 0.0000
Cd 0.1336 0.3664 0.0000
Cd 0.6336 0.1336 0.0000
Ca 0.6721 0.8279 0.5000
Ca 0.3279 0.1721 0.5000
Ca 0.1721 0.6721 0.5000
Ca 0.8279 0.3279 0.5000

It comes down to i, which is 69 meV/atom more stable than the next structure.

i:
Compound: CaCd6Ag2
Source: Alexandria
Functional: PBE
Structure: relaxed

**SG**: P-3m1
**Fermi-level density of states**: 0.230 states/eV/atom

a = 4.8891 Å, b = 4.8876 Å, c = 9.9382 Å
α = 89.97°, β = 90.00°, γ = 120.01°
Fractional positions:
Cd 0.6663 0.3327 0.6713
Cd 0.9998 0.9996 0.8290
Cd 0.6667 0.3334 0.0367
Cd 0.0002 0.0004 0.1710
Cd 0.3333 0.6666 0.9633
Cd 0.3337 0.6673 0.3287
Ca 0.0000 0.0000 0.5000
Ag 0.3329 0.6659 0.6680
Ag 0.6671 0.3341 0.3320

ii:
Compound: CaCd6Ag2
Source: Alexandria
Functional: PBE
Structure: relaxed

**SG**: P6/mmm
**Fermi-level density of states**: 0.533 states/eV/atom

a = 6.1469 Å, b = 6.1469 Å, c = 7.4810 Å
α = 90.00°, β = 90.00°, γ = 120.00°
Fractional positions:
Cd 0.5001 0.5001 0.1991
Cd 0.5001 0.0000 0.8009
Cd 0.4999 0.0000 0.1991
Cd 0.0000 0.5001 0.8009
Cd 0.4999 0.4999 0.8009
Cd 0.0000 0.4999 0.1991
Ag 0.6667 0.3333 0.5000
Ag 0.3333 0.6667 0.5000
Ca 0.0000 0.0000 0.0000

It comes down to i, which is 146 meV/atom more stable than the next structure.

i:
Compound: CaCd6Ag
Source: Alexandria
Functional: PBE
Structure: relaxed

**SG**: Amm2
**Fermi-level density of states**: 0.202 states/eV/atom

a = 5.0781 Å, b = 6.4489 Å, c = 6.4489 Å
α = 119.95°, β = 90.00°, γ = 90.00°
Fractional positions:
Cd 0.5000 0.9178 0.0822
Cd 0.5000 0.4147 0.0829
Cd 0.0000 0.5889 0.9268
Cd 0.5000 0.9171 0.5853
Cd 0.0000 0.5881 0.4119
Cd 0.0000 0.0732 0.4111
Ca 0.5000 0.4162 0.5838
Ag 0.0000 0.0839 0.9161

ii:
Compound: CaCd6Ag
Source: Alexandria
Functional: PBE
Structure: relaxed

**SG**: C2/m
**Fermi-level density of states**: 0.373 states/eV/atom

a = 4.7307 Å, b = 5.2340 Å, c = 8.7190 Å
α = 79.76°, β = 74.26°, γ = 63.13°
Fractional positions:
Cd 0.5319 0.1984 0.7377
Cd 0.2516 0.3938 0.1029
Cd 0.7484 0.6062 0.8971
Cd 0.4681 0.8016 0.2623
Cd 0.2491 0.8331 0.6687
Cd 0.7509 0.1669 0.3313
Ag 0.0000 0.0000 0.0000
Ca 0.0000 0.5000 0.5000

It comes down to ii, which is 28 meV/atom more stable than the next structure.

i:
Compound: CaCd3Ag
Source: Alexandria
Functional: PBE
Structure: relaxed

**SG**: Pm-3m
**Fermi-level density of states**: 0.413 states/eV/atom

a = 5.2484 Å, b = 5.2484 Å, c = 5.2484 Å
α = 90.00°, β = 90.00°, γ = 90.00°
Fractional positions:
Cd 0.5000 0.0000 0.0000
Cd 0.0000 0.0000 0.5000
Cd 0.0000 0.5000 0.0000
Ca 0.5000 0.5000 0.5000
Ag 0.0000 0.0000 0.0000

ii:
Compound: CaCd3Ag
Source: Alexandria
Functional: PBE
Structure: relaxed

**SG**: Cm
**Fermi-level density of states**: 0.423 states/eV/atom

a = 5.4902 Å, b = 5.4902 Å, c = 5.0238 Å
α = 62.21°, β = 62.21°, γ = 78.69°
Fractional positions:
Ag 0.3075 0.3075 0.5945
Cd 0.3004 0.8983 0.3001
Cd 0.9030 0.9030 0.9952
Cd 0.8983 0.3004 0.3001
Ca 0.5920 0.5920 0.8077

It comes down to ii, which is 250 meV/atom more stable than the next structure.

i:
Compound: CaCd3Ag
Source: Alexandria
Functional: PBE
Structure: relaxed

**SG**: Pm-3m
**Fermi-level density of states**: 0.440 states/eV/atom

a = 6.0038 Å, b = 6.0038 Å, c = 6.0038 Å
α = 90.00°, β = 90.00°, γ = 90.00°
Fractional positions:
Ca 0.0000 0.0000 0.0000
Cd 0.0000 0.5000 0.0000
Cd 0.5000 0.0000 0.0000
Cd 0.0000 0.0000 0.5000
Ag 0.5000 0.5000 0.5000

ii:
Compound: CaCd3Ag
Source: Alexandria
Functional: PBE
Structure: relaxed

**SG**: P2_1/m
**Fermi-level density of states**: 0.516 states/eV/atom

a = 7.5382 Å, b = 5.6656 Å, c = 6.0274 Å
α = 90.00°, β = 90.00°, γ = 68.88°
Fractional positions:
Ca 0.6322 0.6987 0.5524
Ca 0.9284 0.2670 0.0524
Ag 0.7462 0.8569 0.0524
Ag 0.8144 0.1088 0.5524
Cd 0.4710 0.2754 0.2961
Cd 0.0896 0.6903 0.3087
Cd 0.4710 0.2754 0.8087
Cd 0.1680 0.1652 0.5524
Cd 0.0896 0.6903 0.7961
Cd 0.3926 0.8005 0.0524

It comes down to ii, which is 900 meV/atom more stable than the next structure.